(1)
Sr5Li12Mg2 after structural relaxation. Source: the Alexandria database, functional PBE.

Summary:
Energy of formation ... 0.039 eV per atom
ρ ... 1.667 g/cm3

a = 9.5693 Å, b = 9.5693 Å, c = 7.9613 Å
α = 92.10°, β = 92.10°, γ = 51.21°
Closest atoms and distances in Å follow each position.
Atoms (fractional coordinates):
Sr 0.0000 0.0000 0.0000  10 Li 3.29-3.68
Sr 0.2391 0.2391 0.9336  10 Li 3.69-3.83, 1 Sr 4.03
Sr 0.2992 0.2992 0.4497  7 Li 3.46-3.87, 2 Mg 3.80
Sr 0.7008 0.7008 0.5503  7 Li 3.46-3.87, 2 Mg 3.80
Sr 0.7609 0.7609 0.0664  10 Li 3.69-3.83, 1 Sr 4.03
Li 0.0663 0.6813 0.7343  3 Li 2.92-3.18, 1 Mg 3.09
Li 0.0865 0.0865 0.5851  2 Mg 3.06, 5 Li 3.10-3.33
Li 0.2258 0.5953 0.1536  3 Li 2.91-3.07, 1 Mg 3.11
Li 0.3187 0.9337 0.2657  3 Li 2.92-3.18, 1 Mg 3.09
Li 0.4047 0.7742 0.8464  3 Li 2.91-3.07, 1 Mg 3.11
Li 0.4457 0.4457 0.8314  7 Li 2.91-3.21, 2 Mg 3.22
Li 0.5543 0.5543 0.1686  7 Li 2.91-3.21, 2 Mg 3.22
Li 0.5953 0.2258 0.1536  3 Li 2.91-3.07, 1 Mg 3.11
Li 0.6813 0.0663 0.7343  3 Li 2.92-3.18, 1 Mg 3.09
Li 0.7742 0.4047 0.8464  3 Li 2.91-3.07, 1 Mg 3.11
Li 0.9135 0.9135 0.4149  2 Mg 3.06, 5 Li 3.10-3.33
Li 0.9337 0.3187 0.2657  3 Li 2.92-3.18, 1 Mg 3.09
Mg 0.3143 0.6857 0.5000  8 Li 3.06-3.22, 1 Mg 3.07
Mg 0.6857 0.3143 0.5000  8 Li 3.06-3.22, 1 Mg 3.07


(2)
SrLi3Ag after structural relaxation. Source: the Alexandria database, functional PBE.

Summary:
Energy of formation ... -0.102 eV per atom
Energy above the lowest structure with this stoichiometry ... 0.00 kcal/mol of atoms
ρ ... 2.813 g/cm3

a = 7.5553 Å, b = 4.5342 Å, c = 7.6987 Å
α = 90.00°, β = 104.46°, γ = 90.00°
Closest atoms and distances in Å follow each position.
Atoms (fractional coordinates):
Sr 0.0000 0.0000 0.0000  2 Ag 3.34, 9 Li 3.48-3.74
Sr 0.3984 0.5000 0.3639  2 Ag 3.35, 9 Li 3.48-3.74
Li 0.1014 0.0000 0.5491  1 Ag 2.69
Li 0.2971 0.5000 0.8147  1 Ag 2.69
Li 0.5437 0.0000 0.0757  3 Ag 2.79, 1 Li 2.84
Li 0.5557 0.0000 0.7103  3 Ag 2.77-2.81, 1 Li 2.84
Li 0.8430 0.5000 0.6536  3 Ag 2.77-2.81, 1 Li 2.84
Li 0.8531 0.5000 0.2867  3 Ag 2.78-2.79, 1 Li 2.84
Ag 0.6640 0.5000 0.9264  7 Li 2.69-2.81
Ag 0.7344 0.0000 0.4367  7 Li 2.69-2.81


(3)
Ac6Tb5Nd after structural relaxation. Source: the Alexandria database, functional PBE.

Summary:
Energy of formation ... 0.042 eV per atom
ρ ... 8.331 g/cm3

a = 10.0326 Å, b = 10.0326 Å, c = 10.0326 Å
α = 148.35°, β = 118.60°, γ = 70.73°
Closest atoms and distances in Å follow each position.
Atoms (fractional coordinates):
Ac 0.0816 0.3329 0.7487  7 Tb 3.73-3.76, 1 Nd 3.76, 4 Ac 3.85-3.87
Ac 0.2472 0.0000 0.2472  6 Tb 3.73-3.76, 2 Nd 3.77, 4 Ac 3.87
Ac 0.4158 0.6671 0.7487  7 Tb 3.73-3.76, 1 Nd 3.76, 4 Ac 3.85-3.87
Ac 0.5842 0.3329 0.2513  7 Tb 3.73-3.76, 1 Nd 3.76, 4 Ac 3.85-3.87
Ac 0.7528 0.0000 0.7528  6 Tb 3.73-3.76, 2 Nd 3.77, 4 Ac 3.87
Ac 0.9184 0.6671 0.2513  7 Tb 3.73-3.76, 1 Nd 3.76, 4 Ac 3.85-3.87
Tb 0.0000 0.5000 0.5000  8 Ac 3.73-3.74, 4 Tb 3.88
Tb 0.1677 0.1677 0.0000  8 Ac 3.73-3.74, 4 Tb 3.85-3.88
Tb 0.3334 0.8334 0.5000  8 Ac 3.73-3.76, 2 Tb 3.85, 2 Nd 3.86
Tb 0.6666 0.1666 0.5000  8 Ac 3.73-3.76, 2 Tb 3.85, 2 Nd 3.86
Tb 0.8323 0.8323 0.0000  8 Ac 3.73-3.74, 4 Tb 3.85-3.88
Nd 0.5000 0.5000 0.0000  8 Ac 3.76-3.77, 4 Tb 3.86


(4)
CsCoP2Se8 after structural relaxation. Source: the Alexandria database, functional PBE.

Summary:
Raw total energy ... -4.0834 eV per atom
ρ ... 4.206 g/cm3

a = 12.0323 Å, b = 12.0323 Å, c = 12.0323 Å
α = 28.46°, β = 28.46°, γ = 28.46°
Closest atoms and distances in Å follow each position.
Atoms (fractional coordinates):
Cs 0.0000 0.0000 0.0000  6 Se 3.70
Co 0.5000 0.5000 0.5000  6 Se 2.39
P 0.2295 0.2295 0.2295  4 Se 2.16-2.32
P 0.7705 0.7705 0.7705  4 Se 2.16-2.32
Se 0.1630 0.7925 0.4165  1 P 2.32, 1 Co 2.39
Se 0.2075 0.5835 0.8370  1 P 2.32, 1 Co 2.39
Se 0.2919 0.2919 0.2919  1 P 2.16
Se 0.4165 0.1630 0.7925  1 P 2.32, 1 Co 2.39
Se 0.5835 0.8370 0.2075  1 P 2.32, 1 Co 2.39
Se 0.7081 0.7081 0.7081  1 P 2.16
Se 0.7925 0.4165 0.1630  1 P 2.32, 1 Co 2.39
Se 0.8370 0.2075 0.5835  1 P 2.32, 1 Co 2.39


(5)
SmEr12Tm2 after structural relaxation. Source: the Alexandria database, functional PBE.

Summary:
Energy of formation ... 0.118 eV per atom
ρ ... 8.883 g/cm3

a = 6.5404 Å, b = 6.5404 Å, c = 24.0678 Å
α = 92.24°, β = 92.24°, γ = 114.70°
Closest atoms and distances in Å follow each position.
Atoms (fractional coordinates):
Sm 0.2499 0.2499 0.0000  2 Er 3.33, 2 Sm 3.53
Sm 0.7501 0.7501 0.0000  2 Er 3.33, 2 Sm 3.53
Er 0.0502 0.5501 0.2023  3 Er 3.08-3.15
Er 0.0806 0.5850 0.3305  3 Er 3.08-3.27
Er 0.1349 0.6413 0.5549  10 Er 3.17-3.53
Er 0.1461 0.1461 0.5728  8 Er 3.28-3.58
Er 0.2150 0.2150 0.8613  2 Er 3.15, 1 Sm 3.33
Er 0.2313 0.7315 0.9247  9 Er 3.52-3.62, 4 Sm 3.74
Er 0.2685 0.7687 0.0753  9 Er 3.52-3.62, 4 Sm 3.74
Er 0.2848 0.2848 0.1386  2 Er 3.15, 1 Sm 3.33
Er 0.3587 0.3587 0.4221  8 Er 3.30-3.57
Er 0.3587 0.8651 0.4451  10 Er 3.17-3.53
Er 0.4150 0.9194 0.6695  3 Er 3.08-3.27
Er 0.4499 0.9498 0.7977  3 Er 3.08-3.15
Er 0.5501 0.0502 0.2023  3 Er 3.08-3.15
Er 0.5850 0.0806 0.3305  3 Er 3.08-3.27
Er 0.6413 0.1349 0.5549  10 Er 3.17-3.53
Er 0.6413 0.6413 0.5779  8 Er 3.30-3.57
Er 0.7152 0.7152 0.8614  2 Er 3.15, 1 Sm 3.33
Er 0.7315 0.2313 0.9247  9 Er 3.52-3.62, 4 Sm 3.74
Er 0.7687 0.2685 0.0753  9 Er 3.52-3.62, 4 Sm 3.74
Er 0.7850 0.7850 0.1387  2 Er 3.15, 1 Sm 3.33
Er 0.8539 0.8539 0.4272  8 Er 3.28-3.58
Er 0.8651 0.3587 0.4451  10 Er 3.17-3.53
Er 0.9194 0.4150 0.6695  3 Er 3.08-3.27
Er 0.9498 0.4499 0.7977  3 Er 3.08-3.15
Tm 0.0696 0.0696 0.2716  2 Tm 3.50-3.55, 10 Er 3.55-3.68
Tm 0.4342 0.4342 0.7287  2 Tm 3.50-3.55, 10 Er 3.56-3.67
Tm 0.5658 0.5658 0.2713  2 Tm 3.50-3.55, 10 Er 3.56-3.67
Tm 0.9304 0.9304 0.7284  2 Tm 3.50-3.55, 10 Er 3.55-3.68


(6)
AlIn2Te6Pb after structural relaxation. Source: the Alexandria database, functional PBE.

Summary:
Raw total energy ... -3.4038 eV per atom
ρ ... 5.135 g/cm3

a = 10.3158 Å, b = 10.3158 Å, c = 8.1815 Å
α = 106.98°, β = 106.98°, γ = 88.16°
Closest atoms and distances in Å follow each position.
Atoms (fractional coordinates):
Al 0.1693 0.8307 0.7500  4 Te 2.65-2.69
Al 0.8307 0.1693 0.2500  4 Te 2.65-2.69
In 0.2412 0.4063 0.3457  4 Te 2.82-2.88
In 0.4063 0.2412 0.8457  4 Te 2.82-2.88
In 0.5937 0.7588 0.1543  4 Te 2.82-2.88
In 0.7588 0.5937 0.6543  4 Te 2.82-2.88
Te 0.0611 0.1684 0.1576  1 Al 2.69, 1 In 2.87
Te 0.0945 0.6383 0.4392  1 Al 2.65, 1 In 2.82
Te 0.1684 0.0611 0.6576  1 Al 2.69, 1 In 2.87
Te 0.3248 0.4711 0.0708  2 In 2.82-2.88
Te 0.3617 0.9055 0.0608  1 Al 2.65, 1 In 2.82
Te 0.4711 0.3248 0.5708  2 In 2.82-2.88
Te 0.5289 0.6752 0.4292  2 In 2.82-2.88
Te 0.6383 0.0945 0.9392  1 Al 2.65, 1 In 2.82
Te 0.6752 0.5289 0.9292  2 In 2.82-2.88
Te 0.8316 0.9389 0.3424  1 Al 2.69, 1 In 2.87
Te 0.9055 0.3617 0.5608  1 Al 2.65, 1 In 2.82
Te 0.9389 0.8316 0.8424  1 Al 2.69, 1 In 2.87
Pb 0.1287 0.8713 0.2500  6 Te 3.25-3.37
Pb 0.8713 0.1287 0.7500  6 Te 3.25-3.37


Which of these has the highest ρ? SmEr12Tm2


Which formula does entry 1 have? Sr5Li12Mg2


ρ of number 4 (CsCoP2Se8)? 4.206 g/cm3


What is the formula in the fifth record? SmEr12Tm2